Record 1
Computed, not measured: crystalline BaGeN3 at its relaxed geometry at the PBE-GGA level of DFT.

Computed properties:
**Symmetry**: Pm-3m
**Uncorrected formation energy**: 2401 meV/atom
**ρ**: 4.5 g/cm³

The structure in POSCAR format:
```
BaGeN3
1.0
4.543 0.000 0.000
0.000 4.543 0.000
0.000 0.000 4.543
Ba Ge N
1 1 3
Direct
0.000 0.000 0.000 Ba
0.500 0.500 0.500 Ge
0.000 0.000 0.500 N
0.000 0.500 0.000 N
0.500 0.000 0.000 N
```

***

Record 2
Computed, not measured: crystalline Ba12Ge6N at its relaxed geometry at the PBE-GGA level of DFT.

Computed properties:
**Symmetry**: R-3
**Uncorrected formation energy**: -360 meV/atom
**ρ**: 4.3 g/cm³

The structure in POSCAR format:
```
Ba12Ge6N
1.0
7.121 4.111 4.654
-7.121 4.111 4.654
0.000 -8.222 4.654
Ba Ge N
12 6 1
Direct
0.030 0.699 0.944 Ba
0.056 0.970 0.301 Ba
0.177 0.441 0.590 Ba
0.301 0.056 0.970 Ba
0.410 0.823 0.559 Ba
0.441 0.590 0.177 Ba
0.559 0.410 0.823 Ba
0.590 0.177 0.441 Ba
0.699 0.944 0.030 Ba
0.823 0.559 0.410 Ba
0.944 0.030 0.699 Ba
0.970 0.301 0.056 Ba
0.136 0.623 0.293 Ge
0.293 0.136 0.623 Ge
0.377 0.707 0.864 Ge
0.623 0.293 0.136 Ge
0.707 0.864 0.377 Ge
0.864 0.377 0.707 Ge
0.000 0.000 0.000 N
```

***

Record 3
Computed, not measured: crystalline BaNaGeN at its relaxed geometry at the PBE-GGA level of DFT.

Computed properties:
**Symmetry**: I4mm
**Uncorrected formation energy**: -329 meV/atom
**ρ**: 4.3 g/cm³

The structure in POSCAR format:
```
BaNaGeN
1.0
-2.058 2.058 5.597
2.058 -2.058 5.597
2.058 2.058 -5.597
Ba Na Ge N
1 1 1 1
Direct
0.000 0.000 0.000 Ba
0.307 0.307 0.000 Na
0.682 0.682 0.000 Ge
0.518 0.518 0.000 N
```